The following is a DFT calculation (PBE) of LiLu2Sn after structural relaxation.

a = 5.1178 Å, b = 5.1178 Å, c = 5.1178 Å
α = 60.00°, β = 60.00°, γ = 60.00°
With the nearest neighbours (Å) after each atom.
Fractional coordinates of all 4 atoms:
Lu 0.2500 0.2500 0.2500  4 Sn 3.13, 4 Li 3.13
Lu 0.7500 0.7500 0.7500  4 Sn 3.13, 4 Li 3.13
Sn 0.5000 0.5000 0.5000  8 Lu 3.13
Li 0.0000 0.0000 0.0000  8 Lu 3.13

Results
Calculated volume (Å³ per cell): 94.8
Formation enthalpy at 0 K (eV/atom): -0.336
Space-group type: Fm-3m
N(E_F) (states/eV per cell): 3.22
Polymorph energy (0 for the lowest one) (meV/atom): 38
Crystal system: cubic